# 1
The following is a DFT calculation (PBE) of crystalline BeZn2Se at its relaxed geometry.

Cell: 6.3134 6.3134 6.3134 Å, 149.65 148.89 44.02°
Closest atoms and distances in Å follow each position.
Atoms (fractional coordinates):
1 Be 0.0000 0.0000 0.0000  4 Se 2.37
2 Zn 0.1995 0.6995 0.5000  4 Zn 2.64, 2 Be 2.86, 2 Se 2.88
3 Zn 0.8005 0.3005 0.5000  4 Zn 2.64, 2 Be 2.86, 2 Se 2.88
4 Se 0.5000 0.5000 0.0000  4 Be 2.37

* distance to the lowest polymorph of the same formula: 0.1337 eV per atom
* E_tot: -9.3 eV per cell
* symmetry: No. 71
* formation energy without anion corrections: 0.122 eV per atom

=====

# 2
The following is a DFT calculation (PBE) of crystalline BeZn2Se at its relaxed geometry.

Cell: 4.8757 4.8757 4.8757 Å, 131.92 131.92 70.36°
Closest atoms and distances in Å follow each position.
Atoms (fractional coordinates):
1 Be 0.0000 0.0000 0.0000  8 Zn 2.81, 4 Se 2.81
2 Zn 0.5000 0.5000 0.0000  4 Be 2.81, 4 Se 2.81, 4 Zn 2.81
3 Zn 0.7500 0.2500 0.5000  4 Se 2.81, 4 Be 2.81, 4 Zn 2.81
4 Se 0.2500 0.7500 0.5000  8 Zn 2.81, 4 Be 2.81

* distance to the lowest polymorph of the same formula: 0.4025 eV per atom
* E_tot: -8.2 eV per cell
* symmetry: No. 119
* formation energy without anion corrections: 0.391 eV per atom

=====

# 3
The following is a DFT calculation (PBE) of crystalline BeZnSe3 at its relaxed geometry.

Cell: 4.8816 4.8816 4.8816 Å, 90.00 90.00 90.00°
Closest atoms and distances in Å follow each position.
Atoms (fractional coordinates):
1 Be 0.0000 0.0000 0.0000  12 Se 3.45
2 Zn 0.5000 0.5000 0.5000  6 Se 2.44
3 Se 0.0000 0.5000 0.5000  2 Zn 2.44
4 Se 0.5000 0.0000 0.5000  2 Zn 2.44
5 Se 0.5000 0.5000 0.0000  2 Zn 2.44

* distance to the lowest polymorph of the same formula: 0.5192 eV per atom
* E_tot: -11.2 eV per cell
* symmetry: No. 221
* formation energy without anion corrections: 0.854 eV per atom

=====

# 4
The following is a DFT calculation (PBE) of crystalline BeZn2Se at its relaxed geometry.

Cell: 4.5550 4.5550 3.5679 Å, 90.00 90.00 116.38°
Closest atoms and distances in Å follow each position.
Atoms (fractional coordinates):
1 Be 0.0000 0.0000 0.0000  2 Se 2.40
2 Zn 0.0000 0.5000 0.5000  2 Zn 2.40
3 Zn 0.5000 0.0000 0.5000  2 Zn 2.40
4 Se 0.5000 0.5000 0.0000  2 Be 2.40

* distance to the lowest polymorph of the same formula: 0.2454 eV per atom
* E_tot: -8.8 eV per cell
* symmetry: No. 65
* formation energy without anion corrections: 0.233 eV per atom

=====

# 5
The following is a DFT calculation (PBE) of crystalline BeZn2Se at its relaxed geometry.

Cell: 2.8041 2.8041 8.0505 Å, 90.00 90.00 90.00°
Closest atoms and distances in Å follow each position.
Atoms (fractional coordinates):
1 Be 0.0000 0.0000 0.0000  8 Zn 2.45
2 Zn 0.5000 0.5000 0.1780  4 Be 2.45
3 Zn 0.5000 0.5000 0.8220  4 Be 2.45
4 Se 0.0000 0.0000 0.5000  4 Se 2.80

* distance to the lowest polymorph of the same formula: 0.2632 eV per atom
* E_tot: -8.8 eV per cell
* symmetry: No. 123
* formation energy without anion corrections: 0.251 eV per atom

=====

# 6
The following is a DFT calculation (PBE) of crystalline ZrBe2Se at its relaxed geometry.

Cell: 5.1828 5.1828 5.1828 Å, 138.31 138.16 60.55°
Closest atoms and distances in Å follow each position.
Atoms (fractional coordinates):
1 Zr 0.0000 0.0000 0.0000  4 Se 2.61, 8 Be 2.90
2 Be 0.2504 0.7504 0.5000  4 Be 2.61, 4 Se 2.90-2.91, 4 Zr 2.90
3 Be 0.7496 0.2496 0.5000  4 Be 2.61, 4 Se 2.90-2.91, 4 Zr 2.90
4 Se 0.5000 0.5000 0.0000  4 Zr 2.61, 8 Be 2.90-2.91

* E_tot: -19.4 eV per cell
* symmetry: No. 71
* formation energy without anion corrections: 0.032 eV per atom

=====

# 7
The following is a DFT calculation (PBE) of crystalline Zr3BeSe at its relaxed geometry.

Cell: 4.7100 4.7100 4.7100 Å, 90.00 90.00 90.00°
Closest atoms and distances in Å follow each position.
Atoms (fractional coordinates):
1 Zr 0.0000 0.0000 0.5000  2 Be 2.35
2 Zr 0.0000 0.5000 0.0000  2 Be 2.35
3 Zr 0.5000 0.0000 0.0000  2 Be 2.35
4 Be 0.0000 0.0000 0.0000  6 Zr 2.35
5 Se 0.5000 0.5000 0.5000  12 Zr 3.33

* distance to the lowest polymorph of the same formula: 0.6861 eV per atom
* E_tot: -32.3 eV per cell
* symmetry: No. 221
* formation energy without anion corrections: 0.119 eV per atom

=====

# 8
The following is a DFT calculation (PBE) of crystalline Zr2BeSe at its relaxed geometry.

Cell: 4.6858 4.6858 4.6858 Å, 60.00 60.00 60.00°
Closest atoms and distances in Å follow each position.
Atoms (fractional coordinates):
1 Zr 0.0000 0.0000 0.0000  4 Be 2.87, 4 Zr 2.87
2 Zr 0.2500 0.2500 0.2500  4 Se 2.87, 4 Zr 2.87
3 Be 0.7500 0.7500 0.7500  4 Se 2.87, 4 Zr 2.87
4 Se 0.5000 0.5000 0.5000  4 Zr 2.87, 4 Be 2.87

* distance to the lowest polymorph of the same formula: 1.0402 eV per atom
* E_tot: -22.9 eV per cell
* symmetry: No. 216
* formation energy without anion corrections: 0.343 eV per atom